NiClF (PBE+U, optimized geometry); space group = Pmmn (59); total magnetic moment = 2.0 μB/f.u.; ρ = 3.50 g/cm³; DFT total energy = -3.527 eV/atom
1.0
3.359 0.000 0.000
0.000 4.006 0.000
0.000 0.000 7.973
Ni Cl F
2 2 2
Cartesian
0.840 1.001 1.048
2.519 3.004 6.924
0.840 3.004 5.389
2.519 1.001 2.584
0.840 3.004 0.413
2.519 1.001 7.559